Entry 1:
The following is a DFT calculation (GGA-PBE) of a geometry-optimized Nb3MoRh structure.

The structure in CIF format:
```
data_Nb3MoRh
_chemical_formula_sum 'Nb3 Mo1 Rh1'
_cell_length_a 4.7581
_cell_length_b 4.7581
_cell_length_c 4.7581
_cell_angle_alpha 90.00
_cell_angle_beta 90.00
_cell_angle_gamma 90.00
_space_group_name_H-M_alt 'P 1'
_space_group_IT_number 1
loop_
_space_group_symop_operation_xyz
'x,y,z'
loop_
_atom_site_label
_atom_site_fract_x
_atom_site_fract_y
_atom_site_fract_z
Nb1 0.5000 0.0000 0.0000
Rh1 0.0000 0.0000 0.0000
Nb2 0.0000 0.0000 0.5000
Mo1 0.5000 0.5000 0.5000
Nb3 0.0000 0.5000 0.0000
```

Entry 2:
The following is a DFT calculation (GGA-PBE) of a geometry-optimized NbMoRh4 structure.

The structure in CIF format:
```
data_NbMoRh4
_chemical_formula_sum 'Nb2 Mo2 Rh8'
_cell_length_a 2.7564
_cell_length_b 7.5530
_cell_length_c 8.7283
_cell_angle_alpha 90.00
_cell_angle_beta 90.00
_cell_angle_gamma 90.00
_space_group_name_H-M_alt 'P 1'
_space_group_IT_number 1
loop_
_space_group_symop_operation_xyz
'x,y,z'
loop_
_atom_site_label
_atom_site_fract_x
_atom_site_fract_y
_atom_site_fract_z
Rh1 0.5000 0.3293 0.4791
Rh2 0.5000 0.3293 0.0209
Mo1 0.0000 0.4641 0.7500
Rh3 0.5000 0.6707 0.5209
Nb1 0.0000 0.8257 0.7500
Rh4 0.0000 0.0000 0.0000
Rh5 0.0000 0.0000 0.5000
Nb2 0.0000 0.1743 0.2500
Rh6 0.5000 0.8526 0.2500
Rh7 0.5000 0.1474 0.7500
Mo2 0.0000 0.5359 0.2500
Rh8 0.5000 0.6707 0.9791
```

Entry 3:
The following is a DFT calculation (GGA-PBE) of a geometry-optimized NbMoRh4 structure.

The structure in CIF format:
```
data_NbMoRh4
_chemical_formula_sum 'Nb2 Mo2 Rh8'
_cell_length_a 5.9636
_cell_length_b 5.9547
_cell_length_c 5.9558
_cell_angle_alpha 90.00
_cell_angle_beta 90.00
_cell_angle_gamma 90.04
_space_group_name_H-M_alt 'P 1'
_space_group_IT_number 1
loop_
_space_group_symop_operation_xyz
'x,y,z'
loop_
_atom_site_label
_atom_site_fract_x
_atom_site_fract_y
_atom_site_fract_z
Rh1 0.2550 0.0000 0.9999
Rh2 0.7459 0.5000 0.5001
Rh3 0.2541 0.0000 0.5001
Nb1 0.0000 0.7500 0.2492
Rh4 0.2550 0.5000 0.0001
Nb2 0.0000 0.2500 0.7508
Mo1 0.5000 0.7500 0.7492
Mo2 0.5000 0.2500 0.2508
Rh5 0.2541 0.5000 0.4999
Rh6 0.7459 0.0000 0.4999
Rh7 0.7450 0.0000 0.0001
Rh8 0.7450 0.5000 0.9999
```

Entry 4:
The following is a DFT calculation (GGA-PBE) of a geometry-optimized NbTcMoRh structure.

The structure in CIF format:
```
data_NbTcMoRh
_chemical_formula_sum 'Nb1 Tc1 Mo1 Rh1'
_cell_length_a 4.4721
_cell_length_b 4.4721
_cell_length_c 4.4721
_cell_angle_alpha 60.00
_cell_angle_beta 60.00
_cell_angle_gamma 60.00
_space_group_name_H-M_alt 'P 1'
_space_group_IT_number 1
loop_
_space_group_symop_operation_xyz
'x,y,z'
loop_
_atom_site_label
_atom_site_fract_x
_atom_site_fract_y
_atom_site_fract_z
Rh1 0.5000 0.5000 0.5000
Mo1 0.0000 0.0000 0.0000
Tc1 0.2500 0.2500 0.2500
Nb1 0.7500 0.7500 0.7500
```

Entry 5:
The following is a DFT calculation (GGA-PBE) of a geometry-optimized TiNbMoRh structure.

The structure in CIF format:
```
data_TiNbMoRh
_chemical_formula_sum 'Ti1 Nb1 Mo1 Rh1'
_cell_length_a 4.4839
_cell_length_b 4.4839
_cell_length_c 4.4839
_cell_angle_alpha 60.00
_cell_angle_beta 60.00
_cell_angle_gamma 60.00
_space_group_name_H-M_alt 'P 1'
_space_group_IT_number 1
loop_
_space_group_symop_operation_xyz
'x,y,z'
loop_
_atom_site_label
_atom_site_fract_x
_atom_site_fract_y
_atom_site_fract_z
Mo1 0.5000 0.5000 0.5000
Rh1 0.0000 0.0000 0.0000
Nb1 0.7500 0.7500 0.7500
Ti1 0.2500 0.2500 0.2500
```

Entry 6:
The following is a DFT calculation (GGA-PBE) of a geometry-optimized TiNbMoRh structure.

The structure in CIF format:
```
data_TiNbMoRh
_chemical_formula_sum 'Ti1 Nb1 Mo1 Rh1'
_cell_length_a 3.1893
_cell_length_b 3.1893
_cell_length_c 6.3056
_cell_angle_alpha 90.00
_cell_angle_beta 90.00
_cell_angle_gamma 90.00
_space_group_name_H-M_alt 'P 1'
_space_group_IT_number 1
loop_
_space_group_symop_operation_xyz
'x,y,z'
loop_
_atom_site_label
_atom_site_fract_x
_atom_site_fract_y
_atom_site_fract_z
Ti1 0.5000 0.5000 0.6033
Rh1 0.0000 0.0000 0.8502
Nb1 0.5000 0.5000 0.1147
Mo1 0.0000 0.0000 0.3597
```

Entry 7:
The following is a DFT calculation (GGA-PBE) of a geometry-optimized NbVMoRh structure.

The structure in CIF format:
```
data_NbVMoRh
_chemical_formula_sum 'Nb1 V1 Mo1 Rh1'
_cell_length_a 4.4363
_cell_length_b 4.4363
_cell_length_c 4.4363
_cell_angle_alpha 60.00
_cell_angle_beta 60.00
_cell_angle_gamma 60.00
_space_group_name_H-M_alt 'P 1'
_space_group_IT_number 1
loop_
_space_group_symop_operation_xyz
'x,y,z'
loop_
_atom_site_label
_atom_site_fract_x
_atom_site_fract_y
_atom_site_fract_z
V1 0.5000 0.5000 0.5000
Rh1 0.2500 0.2500 0.2500
Nb1 0.0000 0.0000 0.0000
Mo1 0.7500 0.7500 0.7500
```

Entry 8:
The following is a DFT calculation (GGA-PBE) of a geometry-optimized Zr2NbMoRh structure.

The structure in CIF format:
```
data_Zr2NbMoRh
_chemical_formula_sum 'Zr2 Nb1 Mo1 Rh1'
_cell_length_a 5.0202
_cell_length_b 4.5929
_cell_length_c 5.0202
_cell_angle_alpha 90.00
_cell_angle_beta 90.00
_cell_angle_gamma 90.00
_space_group_name_H-M_alt 'P 1'
_space_group_IT_number 1
loop_
_space_group_symop_operation_xyz
'x,y,z'
loop_
_atom_site_label
_atom_site_fract_x
_atom_site_fract_y
_atom_site_fract_z
Zr1 0.5000 0.0000 0.0000
Mo1 0.5000 0.5000 0.5000
Zr2 0.0000 0.0000 0.5000
Rh1 0.0000 0.5000 0.0000
Nb1 0.0000 0.0000 0.0000
```

Entry 9:
The following is a DFT calculation (GGA-PBE) of a geometry-optimized Nb3Mo2Ru2 structure.

The structure in CIF format:
```
data_Nb3Mo2Ru2
_chemical_formula_sum 'Nb3 Mo2 Ru2'
_cell_length_a 4.5194
_cell_length_b 4.5102
_cell_length_c 8.3033
_cell_angle_alpha 89.94
_cell_angle_beta 123.05
_cell_angle_gamma 119.93
_space_group_name_H-M_alt 'P 1'
_space_group_IT_number 1
loop_
_space_group_symop_operation_xyz
'x,y,z'
loop_
_atom_site_label
_atom_site_fract_x
_atom_site_fract_y
_atom_site_fract_z
Mo1 0.8631 0.4313 0.1477
Nb1 0.7194 0.8590 0.2894
Ru1 0.4504 0.7241 0.5866
Nb2 0.2806 0.1410 0.7106
Nb3 0.0000 0.0000 0.0000
Mo2 0.1369 0.5687 0.8523
Ru2 0.5496 0.2759 0.4134
```

Entry 10:
The following is a DFT calculation (GGA-PBE) of a geometry-optimized NbMo2Ru structure.

The structure in CIF format:
```
data_NbMo2Ru
_chemical_formula_sum 'Nb1 Mo2 Ru1'
_cell_length_a 4.4831
_cell_length_b 4.4831
_cell_length_c 4.4831
_cell_angle_alpha 60.00
_cell_angle_beta 60.00
_cell_angle_gamma 60.00
_space_group_name_H-M_alt 'P 1'
_space_group_IT_number 1
loop_
_space_group_symop_operation_xyz
'x,y,z'
loop_
_atom_site_label
_atom_site_fract_x
_atom_site_fract_y
_atom_site_fract_z
Mo1 0.7500 0.7500 0.7500
Ru1 0.5000 0.5000 0.5000
Mo2 0.2500 0.2500 0.2500
Nb1 0.0000 0.0000 0.0000
```

Entry 11:
The following is a DFT calculation (GGA-PBE) of a geometry-optimized Nb3MoRu2 structure.

The structure in CIF format:
```
data_Nb3MoRu2
_chemical_formula_sum 'Nb3 Mo1 Ru2'
_cell_length_a 3.2074
_cell_length_b 3.2074
_cell_length_c 9.5573
_cell_angle_alpha 90.00
_cell_angle_beta 90.00
_cell_angle_gamma 90.00
_space_group_name_H-M_alt 'P 1'
_space_group_IT_number 1
loop_
_space_group_symop_operation_xyz
'x,y,z'
loop_
_atom_site_label
_atom_site_fract_x
_atom_site_fract_y
_atom_site_fract_z
Nb1 0.0000 0.0000 0.0000
Ru1 0.5000 0.5000 0.8387
Mo1 0.5000 0.5000 0.5000
Nb2 0.0000 0.0000 0.6635
Nb3 0.0000 0.0000 0.3365
Ru2 0.5000 0.5000 0.1613
```

Entry 12:
The following is a DFT calculation (GGA-PBE) of a geometry-optimized Nb3MoRu2 structure.

The structure in CIF format:
```
data_Nb3MoRu2
_chemical_formula_sum 'Nb6 Mo2 Ru4'
_cell_length_a 3.2159
_cell_length_b 4.4968
_cell_length_c 13.5528
_cell_angle_alpha 90.00
_cell_angle_beta 90.00
_cell_angle_gamma 90.00
_space_group_name_H-M_alt 'P 1'
_space_group_IT_number 1
loop_
_space_group_symop_operation_xyz
'x,y,z'
loop_
_atom_site_label
_atom_site_fract_x
_atom_site_fract_y
_atom_site_fract_z
Nb1 0.4995 0.5000 0.6638
Ru1 0.0004 0.5000 0.1697
Nb2 0.4995 0.5000 0.3362
Nb3 0.4992 0.0000 0.5000
Mo1 0.0007 0.0000 0.0000
Nb4 0.5005 0.0000 0.8362
Ru2 0.9996 0.0000 0.6697
Mo2 0.9993 0.5000 0.5000
Nb5 0.5008 0.5000 0.0000
Ru3 0.9996 0.0000 0.3303
Nb6 0.5005 0.0000 0.1638
Ru4 0.0004 0.5000 0.8303
```

Number 1: ΔH_f (0 K) 1.327 eV/atom, size of the total moment 0.0 μB/f.u.. Number 2: ΔH_f (0 K) -0.141 eV/atom, size of the total moment 0.0 μB/f.u.. Number 3: ΔH_f (0 K) 0.092 eV/atom, size of the total moment 0.0 μB/f.u.. Number 4: ΔH_f (0 K) 0.040 eV/atom, size of the total moment 1.3 μB/f.u.. Number 5: ΔH_f (0 K) -0.402 eV/atom, size of the total moment 0.0 μB/f.u.. Number 6: ΔH_f (0 K) -0.411 eV/atom, size of the total moment 0.0 μB/f.u.. Number 7: ΔH_f (0 K) -0.180 eV/atom, size of the total moment 0.0 μB/f.u.. Number 8: ΔH_f (0 K) 1.249 eV/atom, size of the total moment 1.1 μB/f.u.. Number 9: ΔH_f (0 K) -0.089 eV/atom, size of the total moment 0.0 μB/f.u.. Number 10: ΔH_f (0 K) 0.076 eV/atom, size of the total moment 0.0 μB/f.u.. Number 11: ΔH_f (0 K) -0.218 eV/atom, size of the total moment 0.0 μB/f.u.. Number 12: ΔH_f (0 K) -0.237 eV/atom, size of the total moment 0.0 μB/f.u..